No. 1
The following is a DFT calculation (PBE) of crystalline RbIn4Pd at its relaxed geometry. Values from VASP.

## Properties
* E_form: -0.23 eV/atom
* calculated total energy: -3.080 eV per atom
* V: 28.5 Å³/atom
* relative energy among the computed polymorphs: 0.0 meV/atom
* total magnetization: 0.0 μB/f.u.

Structure (Quantum ESPRESSO input):
```
&SYSTEM
  ibrav = 0, nat = 12, ntyp = 3
/
ATOMIC_SPECIES
In 114.82 In.upf
Rb 85.47 Rb.upf
Pd 106.42 Pd.upf
CELL_PARAMETERS angstrom
4.2867 0.0000 0.0000
0.0000 8.9047 0.0000
0.0000 0.0000 8.9518
ATOMIC_POSITIONS angstrom
In 2.1433 0.6319 2.2379
In 2.1433 2.4419 5.0630
In 2.1433 6.4628 3.8888
In 2.1433 6.4628 0.5871
In 0.0000 0.0000 0.0000
In 0.0000 0.0000 4.4759
In 2.1433 8.2728 6.7138
In 2.1433 2.4419 8.3646
Rb 0.0000 5.1748 6.7138
Rb 0.0000 3.7299 2.2379
Pd 0.0000 7.4299 2.2379
Pd 0.0000 1.4748 6.7138
```

No. 2
The following is a DFT calculation (PBE) of crystalline Rb2In6Pd at its relaxed geometry. Values from VASP.

## Properties
* E_form: -0.13 eV/atom
* calculated total energy: -2.749 eV per atom
* V: 30.0 Å³/atom
* total magnetization: 0.0 μB/f.u.

Structure (Quantum ESPRESSO input):
```
&SYSTEM
  ibrav = 0, nat = 9, ntyp = 3
/
ATOMIC_SPECIES
In 114.82 In.upf
Rb 85.47 Rb.upf
Pd 106.42 Pd.upf
CELL_PARAMETERS angstrom
5.9899 0.1988 0.1150
0.2735 7.0385 -0.3368
0.2735 3.2147 6.2705
ATOMIC_POSITIONS angstrom
In 4.3028 5.3523 0.4851
In 4.4772 2.1827 1.2632
In 2.2342 7.3647 1.6497
In 2.0597 8.2692 4.7856
In 4.3028 3.0873 4.3991
In 2.2342 5.0996 5.5637
Rb 5.1563 6.5575 3.7950
Rb 1.3807 3.8944 2.2538
Pd 0.0000 0.0000 0.0000
```

No. 3
The following is a DFT calculation (PBE) of crystalline RbInPd at its relaxed geometry. Values from VASP.

## Properties
* E_form: -0.15 eV/atom
* calculated total energy: -3.120 eV per atom
* V: 34.1 Å³/atom
* relative energy among the computed polymorphs: 27.3 meV/atom
* total magnetization: 0.0 μB/f.u.

Structure (Quantum ESPRESSO input):
```
&SYSTEM
  ibrav = 0, nat = 3, ntyp = 3
/
ATOMIC_SPECIES
Rb 85.47 Rb.upf
Pd 106.42 Pd.upf
In 114.82 In.upf
CELL_PARAMETERS angstrom
5.5216 0.0000 0.0000
0.0000 4.6257 0.0000
0.0000 -2.3128 4.0059
ATOMIC_POSITIONS angstrom
Rb 3.6796 0.0000 2.6706
Pd 0.9214 2.3128 1.3353
In 0.9205 0.0000 0.0000
```

Please write out number 1 again, unchanged.
The following is a DFT calculation (PBE) of crystalline RbIn4Pd at its relaxed geometry. Values from VASP.

## Properties
* E_form: -0.23 eV/atom
* calculated total energy: -3.080 eV per atom
* V: 28.5 Å³/atom
* relative energy among the computed polymorphs: 0.0 meV/atom
* total magnetization: 0.0 μB/f.u.

Structure (Quantum ESPRESSO input):
```
&SYSTEM
  ibrav = 0, nat = 12, ntyp = 3
/
ATOMIC_SPECIES
In 114.82 In.upf
Rb 85.47 Rb.upf
Pd 106.42 Pd.upf
CELL_PARAMETERS angstrom
4.2867 0.0000 0.0000
0.0000 8.9047 0.0000
0.0000 0.0000 8.9518
ATOMIC_POSITIONS angstrom
In 2.1433 0.6319 2.2379
In 2.1433 2.4419 5.0630
In 2.1433 6.4628 3.8888
In 2.1433 6.4628 0.5871
In 0.0000 0.0000 0.0000
In 0.0000 0.0000 4.4759
In 2.1433 8.2728 6.7138
In 2.1433 2.4419 8.3646
Rb 0.0000 5.1748 6.7138
Rb 0.0000 3.7299 2.2379
Pd 0.0000 7.4299 2.2379
Pd 0.0000 1.4748 6.7138
```

Among the records above, which one has the highest calculated total energy?
Rb2In6Pd

What is the total magnetization in the third record?
0.0 μB/f.u.